No. 1
# InCuSbTe2 (GGA-PBEsol, optimized geometry)
data_InCuSbTe2
_chemical_formula_sum 'In1 Cu1 Sb1 Te2'
_symmetry_space_group_name_H-M 'P 1'
_symmetry_Int_Tables_number 1
_cell_length_a 5.452
_cell_length_b 5.579
_cell_length_c 5.579
_cell_angle_alpha 90.00
_cell_angle_beta 90.00
_cell_angle_gamma 90.00
loop_
_symmetry_equiv_pos_as_xyz
'x,y,z'
loop_
_atom_site_label
_atom_site_fract_x
_atom_site_fract_y
_atom_site_fract_z
Te1 0.000 0.000 0.500
Te2 0.000 0.500 0.000
Cu1 0.500 0.500 0.500
In1 0.000 0.000 0.000
Sb1 0.500 0.000 0.000
# ρ ... 5.4 Mg/m³
# ΔE_f (raw) ... 1053 meV/atom
# SG ... P4/mmm, No. 123

***

No. 2
# MnP2SBr (GGA-PBEsol, optimized geometry)
data_MnP2SBr
_chemical_formula_sum 'Mn1 P2 S1 Br1'
_symmetry_space_group_name_H-M 'P 1'
_symmetry_Int_Tables_number 1
_cell_length_a 4.242
_cell_length_b 4.464
_cell_length_c 4.464
_cell_angle_alpha 90.00
_cell_angle_beta 90.00
_cell_angle_gamma 90.00
loop_
_symmetry_equiv_pos_as_xyz
'x,y,z'
loop_
_atom_site_label
_atom_site_fract_x
_atom_site_fract_y
_atom_site_fract_z
P1 0.000 0.000 0.500
P2 0.000 0.500 0.000
S1 0.500 0.000 0.000
Mn1 0.000 0.000 0.000
Br1 0.500 0.500 0.500
# ρ ... 4.5 Mg/m³
# ΔE_f (raw) ... 328 meV/atom
# SG ... P4/mmm, No. 123

***

No. 3
# YI2O2 (GGA-PBEsol, optimized geometry)
data_YI2O2
_chemical_formula_sum 'Y1 I2 O2'
_symmetry_space_group_name_H-M 'P 1'
_symmetry_Int_Tables_number 1
_cell_length_a 4.186
_cell_length_b 4.809
_cell_length_c 4.809
_cell_angle_alpha 90.00
_cell_angle_beta 90.00
_cell_angle_gamma 90.00
loop_
_symmetry_equiv_pos_as_xyz
'x,y,z'
loop_
_atom_site_label
_atom_site_fract_x
_atom_site_fract_y
_atom_site_fract_z
I1 0.000 0.000 0.500
I2 0.000 0.500 0.000
Y1 0.500 0.500 0.500
O1 0.000 0.000 0.000
O2 0.500 0.000 0.000
# ρ ... 6.4 Mg/m³
# ΔE_f (raw) ... -132 meV/atom
# SG ... P4/mmm, No. 123
# Energy above the most stable polymorph in this dataset ... 67.1 meV per atom

***

No. 4
# CuTe2OsAu (GGA-PBEsol, optimized geometry)
data_CuTe2OsAu
_chemical_formula_sum 'Cu1 Te2 Os1 Au1'
_symmetry_space_group_name_H-M 'P 1'
_symmetry_Int_Tables_number 1
_cell_length_a 4.604
_cell_length_b 4.814
_cell_length_c 4.814
_cell_angle_alpha 90.00
_cell_angle_beta 90.00
_cell_angle_gamma 90.00
loop_
_symmetry_equiv_pos_as_xyz
'x,y,z'
loop_
_atom_site_label
_atom_site_fract_x
_atom_site_fract_y
_atom_site_fract_z
Te1 0.000 0.000 0.500
Te2 0.000 0.500 0.000
Au1 0.500 0.000 0.000
Os1 0.500 0.500 0.500
Cu1 0.000 0.000 0.000
# ρ ... 11.0 Mg/m³
# ΔE_f (raw) ... 1391 meV/atom
# SG ... P4/mmm, No. 123

***

No. 5
# Be2InRh2 (GGA-PBEsol, optimized geometry)
data_Be2InRh2
_chemical_formula_sum 'Be4 In2 Rh4'
_symmetry_space_group_name_H-M 'P 1'
_symmetry_Int_Tables_number 1
_cell_length_a 2.866
_cell_length_b 6.518
_cell_length_c 6.518
_cell_angle_alpha 90.00
_cell_angle_beta 90.00
_cell_angle_gamma 90.00
loop_
_symmetry_equiv_pos_as_xyz
'x,y,z'
loop_
_atom_site_label
_atom_site_fract_x
_atom_site_fract_y
_atom_site_fract_z
Rh1 0.500 0.667 0.833
Rh2 0.500 0.833 0.333
Rh3 0.500 0.333 0.167
Rh4 0.500 0.167 0.667
Be1 0.000 0.380 0.880
Be2 0.000 0.880 0.620
Be3 0.000 0.620 0.120
Be4 0.000 0.120 0.380
In1 0.000 0.000 0.000
In2 0.000 0.500 0.500
# ρ ... 9.2 Mg/m³
# SG ... P4/mbm, No. 127
# ΔE_f ... -46.8 kJ/mol of atoms
# Energy above the most stable polymorph in this dataset ... 0.0 meV per atom

***

No. 6
# YAgIr2 (GGA-PBEsol, optimized geometry)
data_YAgIr2
_chemical_formula_sum 'Y1 Ag1 Ir2'
_symmetry_space_group_name_H-M 'P 1'
_symmetry_Int_Tables_number 1
_cell_length_a 3.968
_cell_length_b 4.181
_cell_length_c 5.020
_cell_angle_alpha 114.61
_cell_angle_beta 113.28
_cell_angle_gamma 90.00
loop_
_symmetry_equiv_pos_as_xyz
'x,y,z'
loop_
_atom_site_label
_atom_site_fract_x
_atom_site_fract_y
_atom_site_fract_z
Ir1 0.991 0.991 0.983
Ir2 0.262 0.762 0.524
Y1 0.502 0.502 0.005
Ag1 0.744 0.244 0.488
# ρ ... 14.2 Mg/m³
# SG ... Imm2, No. 44
# ΔE_f ... -8.5 kJ/mol of atoms
# Energy above the most stable polymorph in this dataset ... 58.2 meV per atom

***

No. 7
# AsOs3O (GGA-PBEsol, optimized geometry)
data_AsOs3O
_chemical_formula_sum 'As1 Os3 O1'
_symmetry_space_group_name_H-M 'P 1'
_symmetry_Int_Tables_number 1
_cell_length_a 4.082
_cell_length_b 4.082
_cell_length_c 4.082
_cell_angle_alpha 90.00
_cell_angle_beta 90.00
_cell_angle_gamma 90.00
loop_
_symmetry_equiv_pos_as_xyz
'x,y,z'
loop_
_atom_site_label
_atom_site_fract_x
_atom_site_fract_y
_atom_site_fract_z
Os1 0.000 0.000 0.500
Os2 0.000 0.500 0.000
Os3 0.500 0.000 0.000
As1 0.500 0.500 0.500
O1 0.000 0.000 0.000
# ρ ... 16.2 Mg/m³
# ΔE_f (raw) ... 1096 meV/atom
# SG ... Pm-3m, No. 221

***

No. 8
# LiMg2P (GGA-PBEsol, optimized geometry)
data_LiMg2P
_chemical_formula_sum 'Li1 Mg2 P1'
_symmetry_space_group_name_H-M 'P 1'
_symmetry_Int_Tables_number 1
_cell_length_a 3.901
_cell_length_b 3.901
_cell_length_c 5.264
_cell_angle_alpha 111.75
_cell_angle_beta 111.75
_cell_angle_gamma 90.00
loop_
_symmetry_equiv_pos_as_xyz
'x,y,z'
loop_
_atom_site_label
_atom_site_fract_x
_atom_site_fract_y
_atom_site_fract_z
Li1 0.250 0.750 0.500
P1 0.500 0.500 0.000
Mg1 0.000 0.000 0.000
Mg2 0.750 0.250 0.500
# ρ ... 2.1 Mg/m³
# SG ... I-4m2, No. 119
# ΔE_f ... -22.4 kJ/mol of atoms

***

No. 9
# Sc2TcHg (GGA-PBEsol, optimized geometry)
data_Sc2TcHg
_chemical_formula_sum 'Sc2 Tc1 Hg1'
_symmetry_space_group_name_H-M 'P 1'
_symmetry_Int_Tables_number 1
_cell_length_a 3.220
_cell_length_b 3.220
_cell_length_c 8.818
_cell_angle_alpha 79.48
_cell_angle_beta 79.48
_cell_angle_gamma 60.00
loop_
_symmetry_equiv_pos_as_xyz
'x,y,z'
loop_
_atom_site_label
_atom_site_fract_x
_atom_site_fract_y
_atom_site_fract_z
Hg1 0.000 0.000 0.000
Sc1 0.760 0.760 0.720
Sc2 0.240 0.240 0.280
Tc1 0.500 0.500 0.500
# ρ ... 8.3 Mg/m³
# SG ... R-3m, No. 166
# ΔE_f ... -16.1 kJ/mol of atoms

***

No. 10
# BaLa2Tl (GGA-PBEsol, optimized geometry)
data_BaLa2Tl
_chemical_formula_sum 'Ba1 La2 Tl1'
_symmetry_space_group_name_H-M 'P 1'
_symmetry_Int_Tables_number 1
_cell_length_a 3.997
_cell_length_b 5.879
_cell_length_c 7.103
_cell_angle_alpha 114.45
_cell_angle_beta 106.34
_cell_angle_gamma 90.00
loop_
_symmetry_equiv_pos_as_xyz
'x,y,z'
loop_
_atom_site_label
_atom_site_fract_x
_atom_site_fract_y
_atom_site_fract_z
Tl1 0.500 0.000 0.000
La1 0.785 0.785 0.570
La2 0.215 0.215 0.430
Ba1 0.000 0.500 0.000
# ρ ... 7.1 Mg/m³
# SG ... Immm, No. 71
# ΔE_f ... -15.1 kJ/mol of atoms
# Energy above the most stable polymorph in this dataset ... 4.8 meV per atom

***

No. 11
# TiBeAl2Pd (GGA-PBEsol, optimized geometry)
data_TiBeAl2Pd
_chemical_formula_sum 'Ti1 Be1 Al2 Pd1'
_symmetry_space_group_name_H-M 'P 1'
_symmetry_Int_Tables_number 1
_cell_length_a 4.172
_cell_length_b 4.172
_cell_length_c 4.272
_cell_angle_alpha 90.00
_cell_angle_beta 90.00
_cell_angle_gamma 90.00
loop_
_symmetry_equiv_pos_as_xyz
'x,y,z'
loop_
_atom_site_label
_atom_site_fract_x
_atom_site_fract_y
_atom_site_fract_z
Be1 0.000 0.000 0.000
Ti1 0.000 0.000 0.500
Al1 0.000 0.500 0.000
Al2 0.500 0.000 0.000
Pd1 0.500 0.500 0.500
# ρ ... 4.9 Mg/m³
# SG ... P4/mmm, No. 123
# ΔE_f ... 11.8 kJ/mol of atoms

***

No. 12
# TaCdRe (GGA-PBEsol, optimized geometry)
data_TaCdRe
_chemical_formula_sum 'Ta1 Cd1 Re1'
_symmetry_space_group_name_H-M 'P 1'
_symmetry_Int_Tables_number 1
_cell_length_a 4.408
_cell_length_b 4.408
_cell_length_c 4.408
_cell_angle_alpha 60.00
_cell_angle_beta 60.00
_cell_angle_gamma 60.00
loop_
_symmetry_equiv_pos_as_xyz
'x,y,z'
loop_
_atom_site_label
_atom_site_fract_x
_atom_site_fract_y
_atom_site_fract_z
Ta1 0.250 0.250 0.250
Cd1 0.000 0.000 0.000
Re1 0.500 0.500 0.500
# ρ ... 13.1 Mg/m³
# SG ... F-43m, No. 216
# ΔE_f ... 99.6 kJ/mol of atoms
# Energy above the most stable polymorph in this dataset ... 829.2 meV per atom